1.
Zr9NiMo4: relaxed, PBE.

Calculated values
ρ	7.34	g/cm³
calculated formation energy	-2.0	eV per formula unit

Cell lengths 8.808, 8.808, 8.503 Å; angles 90.00, 90.00, 120.00 degrees
Positions (direct):
1 Zr 0.086 0.543 0.250
2 Zr 0.199 0.399 0.556
3 Zr 0.199 0.399 0.944
4 Zr 0.199 0.801 0.556
5 Zr 0.199 0.801 0.944
6 Zr 0.399 0.199 0.056
7 Zr 0.399 0.199 0.444
8 Zr 0.457 0.543 0.250
9 Zr 0.457 0.914 0.250
10 Zr 0.543 0.086 0.750
11 Zr 0.543 0.457 0.750
12 Zr 0.601 0.801 0.556
13 Zr 0.601 0.801 0.944
14 Zr 0.801 0.199 0.056
15 Zr 0.801 0.199 0.444
16 Zr 0.801 0.601 0.056
17 Zr 0.801 0.601 0.444
18 Zr 0.914 0.457 0.750
19 Ni 0.333 0.667 0.750
20 Ni 0.667 0.333 0.250
21 Mo 0.000 0.000 0.000
22 Mo 0.000 0.000 0.500
23 Mo 0.110 0.220 0.250
24 Mo 0.110 0.890 0.250
25 Mo 0.220 0.110 0.750
26 Mo 0.780 0.890 0.250
27 Mo 0.890 0.110 0.750
28 Mo 0.890 0.780 0.750

=====

2.
ZrNi2Mo: relaxed, PBE.

Calculated values
ρ	8.51	g/cm³
calculated formation energy	0.1	eV per formula unit

Cell lengths 5.341, 5.341, 5.341 Å; angles 149.15, 129.91, 59.99 degrees
Positions (direct):
1 Zr 0.000 0.000 0.000
2 Ni 0.519 0.519 0.000
3 Ni 0.737 0.237 0.500
4 Mo 0.276 0.776 0.500

=====

3.
ZrNiMo2: relaxed, PBE.

Calculated values
ρ	8.72	g/cm³
calculated formation energy	0.3	eV per formula unit

Cell lengths 5.280, 5.280, 5.280 Å; angles 143.35, 131.48, 62.32 degrees
Positions (direct):
1 Zr 0.000 0.000 0.000
2 Ni 0.500 0.500 0.000
3 Mo 0.252 0.752 0.500
4 Mo 0.748 0.248 0.500

=====

4.
ZrNiMo2: relaxed, PBE.

Calculated values
ρ	8.79	g/cm³
calculated formation energy	-0.2	eV per formula unit

Cell lengths 3.238, 3.238, 6.159 Å; angles 90.00, 90.00, 90.00 degrees
Positions (direct):
1 Zr 0.000 0.000 0.000
2 Ni 0.500 0.500 0.754
3 Mo 0.000 0.000 0.513
4 Mo 0.500 0.500 0.286

=====

5.
ZrNi3Mo: relaxed, PBE.

Calculated values
polymorph energy (0 for the lowest one)	0.0	kJ per mole of atoms
ρ	6.88	g/cm³
calculated formation energy	4.1	eV per formula unit

Cell lengths 4.443, 4.443, 4.443 Å; angles 90.00, 90.00, 90.00 degrees
Positions (direct):
1 Zr 0.000 0.000 0.000
2 Ni 0.000 0.500 0.500
3 Ni 0.500 0.000 0.500
4 Ni 0.500 0.500 0.000
5 Mo 0.500 0.500 0.500

=====

6.
ZrNi2Mo: relaxed, PBE.

Calculated values
ρ	8.59	g/cm³
calculated formation energy	-0.3	eV per formula unit

Cell lengths 4.699, 4.699, 4.699 Å; angles 130.58, 130.16, 72.82 degrees
Positions (direct):
1 Zr 0.000 0.000 0.000
2 Ni 0.251 0.751 0.500
3 Ni 0.749 0.249 0.500
4 Mo 0.500 0.500 0.000